DFT (PBE) results for crystalline Nd2ScGa3 at its relaxed geometry.

a b c (Å): 3.5789 6.0094 8.0269
angles (deg): 111.98 102.88 90.00
Closest atoms and distances in Å follow each position.
Element x y z (fractional)
Nd 0.6712 0.1712 0.3423  6 Ga 3.02-3.11
Nd 0.3288 0.8288 0.6577  6 Ga 3.02-3.11
Sc 0.0000 0.5000 0.0000  6 Ga 2.84-3.00
Ga 0.3475 0.3475 0.6951  2 Sc 2.84, 4 Nd 3.02-3.11
Ga 0.0000 0.0000 0.0000  2 Sc 3.00, 4 Nd 3.05
Ga 0.6525 0.6525 0.3049  2 Sc 2.84, 4 Nd 3.02-3.11

Output
The formation energy comes out at -0.30 eV/atom. The calculation puts the magnetic moment at 0.00 μB/atom. For the calculated density, the calculation gives 5.80 g/cm3.

DFT (PBE) results for crystalline Nd4ScGa5 at its relaxed geometry.

a b c (Å): 3.5975 3.5975 18.4881
angles (deg): 90.00 90.00 90.00
Closest atoms and distances in Å follow each position.
Element x y z (fractional)
Nd 0.0000 0.0000 0.1874  8 Ga 3.18-3.23, 1 Sc 3.47
Nd 0.0000 0.0000 0.3956  8 Ga 3.19-3.20
Nd 0.0000 0.0000 0.6044  8 Ga 3.19-3.20
Nd 0.0000 0.0000 0.8126  8 Ga 3.18-3.23, 1 Sc 3.47
Sc 0.0000 0.0000 0.0000  8 Ga 2.94
Ga 0.5000 0.5000 0.0800  4 Sc 2.94, 1 Ga 2.96, 4 Nd 3.23
Ga 0.5000 0.5000 0.2910  8 Nd 3.18-3.20
Ga 0.5000 0.5000 0.5000  8 Nd 3.19
Ga 0.5000 0.5000 0.7090  8 Nd 3.18-3.20
Ga 0.5000 0.5000 0.9200  4 Sc 2.94, 1 Ga 2.96, 4 Nd 3.23

Output
The formation energy comes out at -0.56 eV/atom. The calculation puts the magnetic moment at 0.00 μB/atom. For the calculated density, the calculation gives 6.74 g/cm3.